No. 1
TlFeCuN2: optimized geometry, PBE.

Geometry as POSCAR:
```
TlFeCuN2
1.0
-2.0365 -1.0386 -3.5508
-3.0643 -3.1338 2.6741
-2.7082 3.1799 0.6231
Tl Fe Cu N
1 1 1 2
direct
0.0000 0.0000 0.0000 Tl
0.0000 0.5000 0.0000 Fe
0.5000 0.5000 0.5000 Cu
0.0000 0.0000 0.5000 N
0.5000 0.0000 0.0000 N
```

Crystal system ... tetragonal
V ... 18.31 Å³ per atom
Formation energy (no corrections) ... 2.50 eV per atom
Magnetization ... 3.056 μB/f.u.
Fermi-level density of states ... 5.33 states/eV/cell

No. 2
Tl6Pb: optimized geometry, PBE.

Geometry as POSCAR:
```
Tl6Pb
1.0
-3.0365 -4.6044 -4.8383
7.1200 0.8396 -1.5589
-0.7150 -2.7426 6.7673
Tl Pb
6 1
direct
0.2500 0.7500 0.5000 Tl
0.5000 0.7500 0.2500 Tl
0.2500 0.5000 0.7500 Tl
0.7500 0.2500 0.5000 Tl
0.5000 0.2500 0.7500 Tl
0.7500 0.5000 0.2500 Tl
0.0000 0.0000 0.0000 Pb
```

Crystal system ... cubic
V ... 43.43 Å³ per atom
ΔE_f ... 0.49 eV/atom
Magnetization ... 0.000 μB/f.u.
Energy above the lowest structure with this stoichiometry ... 47.0 kJ per mole of atoms
Fermi-level density of states ... 4.72 states/eV/cell